# K2RhW3O12 | the Alexandria database | PBE+U | optimized geometry
# - energy (eV per atom) = -6.828
# - V (A^3/atom) = 15.56
# - total moment (μB/cell) = 3.2
data_K2RhW3O12
_chemical_formula_sum 'K6 Rh3 W9 O36'
_space_group_name_H-M_alt 'R -3 m'
_space_group_IT_number 166
_space_group_name_Hall '-R 3 2"'
_cell_length_a 7.3909
_cell_length_b 7.3909
_cell_length_c 17.7620
_cell_angle_alpha 90.00
_cell_angle_beta 90.00
_cell_angle_gamma 120.00
loop_
_atom_site_label
_atom_site_type_symbol
_atom_site_fract_x
_atom_site_fract_y
_atom_site_fract_z
K1 K 0.0000 0.0000 0.1433
Rh1 Rh 0.0000 0.0000 0.5000
W1 W 0.0000 0.5000 0.0000
O1 O 0.0755 0.5377 0.1038
O2 O 0.0860 0.5430 0.3554